The following is a meta-GGA SCAN calculation of a crystal of HPdRu2N relaxed with PBEsol, from Alexandria.

POSCAR file:
```
HPdRu2N
1.0
4.3381 0.0000 0.0000
0.0000 4.3381 0.0000
0.0000 0.0000 2.7333
H Pd Ru N
1 1 2 1
Direct
0.0000 0.0000 0.0000
0.5000 0.5000 0.0000
0.0000 0.5000 0.5000
0.5000 0.0000 0.5000
0.0000 0.0000 0.5000
```

Properties
M_tot	0.00	μB per cell
space group	P4/mmm (123)
E	-111.98	eV per cell